The following is a PBE-GGA calculation of a relaxed TiCl2O crystal, from Alexandria.

```
8
Lattice="-4.626 4.626 1.848 4.626 -4.626 1.848 4.626 4.626 -1.848" Properties=species:S:1:pos:R:3 pbc="T T T"
Ti 0.000 0.000 0.000
Ti 0.000 4.626 0.924
Cl 0.778 2.313 0.462
Cl -2.313 3.848 1.386
Cl -0.778 6.939 0.462
Cl 2.313 5.405 1.386
O 4.626 0.000 0.924
O 0.000 0.000 1.848
```

size of the total moment	0.0	μB/f.u.
symmetry	No. 122

=====

The following is a PBE-GGA calculation of a relaxed TiCl2O crystal, from Alexandria.

```
4
Lattice="2.984 -1.725 0.000 2.984 1.725 0.000 -2.423 0.000 8.179" Properties=species:S:1:pos:R:3 pbc="T T T"
Ti 0.000 0.000 0.000
Cl 0.000 0.000 2.241
Cl 3.544 0.000 5.938
O -0.433 0.000 8.178
```

size of the total moment	0.0	μB/f.u.
symmetry	No. 8

=====

The following is a PBE-GGA calculation of a relaxed Ti7Cl12O crystal, from Alexandria.

```
20
Lattice="6.492 3.748 2.870 -6.492 3.748 2.870 0.000 -7.497 2.870" Properties=species:S:1:pos:R:3 pbc="T T T"
Ti 0.000 0.000 0.000
Ti -1.286 -1.280 3.299
Ti -0.466 1.754 3.299
Ti 1.752 -0.473 3.299
Ti -1.752 0.473 5.310
Ti 0.466 -1.754 5.310
Ti 1.286 1.280 5.310
Cl -1.862 0.521 1.578
Cl 0.480 -1.873 1.578
Cl -3.462 -0.963 4.296
Cl -0.897 -3.480 4.313
Cl 1.382 1.352 1.578
Cl -2.565 2.517 4.313
Cl 2.565 -2.517 4.296
Cl -1.382 -1.352 7.031
Cl 0.897 3.480 4.296
Cl 3.462 0.963 4.313
Cl -0.480 1.873 7.031
Cl 1.862 -0.521 7.031
O 0.000 0.000 4.304
```

size of the total moment	3.1	μB/f.u.
symmetry	No. 148

=====

The following is a PBE-GGA calculation of a relaxed TiCl2O crystal, from Alexandria.

```
4
Lattice="0.000 3.022 3.022 3.022 0.000 3.022 3.022 3.022 0.000" Properties=species:S:1:pos:R:3 pbc="T T T"
Ti 0.000 0.000 0.000
Cl 1.511 1.511 1.511
Cl 4.533 4.533 4.533
O 3.022 3.022 3.022
```

size of the total moment	0.0	μB/f.u.
symmetry	No. 225

=====

Number 1: calculated density 2.83 g/cm³, uncorrected energy -5.939 eV/atom, uncorrected formation energy -1802 meV/atom. Number 2: calculated density 2.66 g/cm³, uncorrected energy -5.987 eV/atom, uncorrected formation energy -1850 meV/atom. Number 3: calculated density 3.08 g/cm³, uncorrected energy -5.588 eV/atom, uncorrected formation energy -1468 meV/atom. Number 4: calculated density 4.06 g/cm³, uncorrected energy -4.541 eV/atom, uncorrected formation energy -405 meV/atom.